# 1
Ca2SiHg after structural relaxation. Source: the Alexandria database, functional PBE.

Cell lengths 3.650, 3.609, 7.618 Å; angles 90.00, 90.09, 90.00 degrees
Fractional coordinates of all 4 atoms:
Ca  0.000  0.000  0.233
Ca  0.000  0.000  0.767
Si  0.500  0.500  0.000
Hg  0.500  0.500  0.500

Summary:
The value obtained for the magnetic moment is 0.000 μB/f.u. Its symmetry is P2/m, No. 10. The value obtained for the uncorrected formation energy is -0.428 eV/atom.

# 2
LaHo2Al2Ga2 after structural relaxation. Source: the Alexandria database, functional PBE.

Cell lengths 10.345, 10.345, 10.345 Å; angles 24.68, 24.68, 24.68 degrees
Fractional coordinates of all 7 atoms:
La  0.000  0.000  0.000
Ho  0.130  0.130  0.130
Ho  0.870  0.870  0.870
Al  0.401  0.401  0.401
Al  0.599  0.599  0.599
Ga  0.251  0.251  0.251
Ga  0.749  0.749  0.749

Summary:
The value obtained for the magnetic moment is 0.000 μB/f.u. The formation energy is -2.8 eV per formula unit. Its symmetry is R-3m, No. 166.

| no. | mass density (g/cm³) |
| --- | --- |
| 1 | 5.112 |
| 2 | 6.479 |